Compound: HfNi2GeO6
Source: the Alexandria database
Functional: PBE+U
Structure: optimized geometry

Values from the calculation:
Calculated volume   106 Å³/cell
Uncorrected energy   -6.9038 eV/atom
SG   R3

a b c (Å): 5.1362 5.1366 5.5044
angles (deg): 62.19 62.19 59.99
With the nearest neighbours (Å) after each atom.
Sites, in units of the cell vectors:
1 Hf 0.8141 0.8141 0.5576  6 O 2.03-2.17
2 Ni 0.5222 0.5222 0.4332  6 O 2.07-2.15
3 Ni 0.0181 0.0181 0.9459  6 O 2.05-2.13
4 Ge 0.3176 0.3177 0.0470  6 O 1.89-1.99
5 O 0.5884 0.2164 0.2454  1 Ge 1.89, 1 Ni 2.07
6 O 0.2164 0.9497 0.2454  1 Ge 1.89, 1 Ni 2.07
7 O 0.9498 0.5884 0.2454  1 Ge 1.89, 1 Ni 2.08
8 O 0.4232 0.6985 0.7650  1 Ge 1.99, 1 Hf 2.03, 2 Ni 2.05-2.15
9 O 0.6986 0.1132 0.7651  1 Ge 1.99, 1 Hf 2.03, 2 Ni 2.05-2.15
10 O 0.1131 0.4233 0.7651  1 Ge 1.99, 1 Hf 2.03, 2 Ni 2.05-2.15